DFT (PBE) results for Hf4HgRh after structural relaxation.

Calculated values
Its volume is 20.97 Å³ per atom. The calculation puts the energy relative to the lowest polymorph listed for this composition at 15.52 kJ/mol of atoms.

Cell lengths 5.522, 8.227, 7.206 Å; angles 114.80, 99.08, 113.26 degrees
Sites, in units of the cell vectors:
Hf  0.060  0.186  0.814
Hf  0.764  0.707  0.617
Hf  0.255  0.628  0.814
Hf  0.353  0.910  0.617
Hf  0.647  0.090  0.383
Hf  0.745  0.372  0.186
Hf  0.236  0.293  0.383
Hf  0.940  0.814  0.186
Hg  0.357  0.607  0.214
Hg  0.643  0.393  0.786
Rh  0.256  0.006  0.012
Rh  0.744  0.994  0.988



DFT (PBE) results for HfHg2Rh after structural relaxation.

Calculated values
Its volume is 18.73 Å³ per atom. The calculation puts the energy relative to the lowest polymorph listed for this composition at 0.00 kJ/mol of atoms.

Cell lengths 4.732, 4.732, 4.732 Å; angles 60.00, 60.00, 60.00 degrees
Sites, in units of the cell vectors:
Rh  0.000  0.000  0.000
Hf  0.500  0.500  0.500
Hg  0.250  0.250  0.250
Hg  0.750  0.750  0.750



DFT (PBE) results for HfHgRh2 after structural relaxation.

Calculated values
Its volume is 18.88 Å³ per atom. The electronic total energy is -6.3601 eV/atom.

Cell lengths 7.152, 7.152, 5.856 Å; angles 52.36, 52.36, 90.00 degrees
Sites, in units of the cell vectors:
Rh  0.603  0.125  0.250
Rh  0.147  0.625  0.250
Rh  0.375  0.397  0.750
Rh  0.875  0.853  0.750
Hf  0.500  0.500  0.000
Hf  0.250  0.750  0.500
Hg  0.000  0.000  0.000
Hg  0.750  0.250  0.500



Number 1: density of states at the Fermi level 1.0143 states/eV per atom. Number 2: density of states at the Fermi level 0.4228 states/eV per atom. Number 3: density of states at the Fermi level 0.2283 states/eV per atom.